A plane-wave DFT calculation with PBE was carried out for crystalline AlReNi2 at its relaxed geometry.

Unit cell a=2.613 b=4.030 c=4.976 alpha=90.00 beta=105.12 gamma=90.00
Sites, in units of the cell vectors:
Al 0.000 0.000 0.000
Re 0.328 0.500 0.658
Ni 0.588 0.500 0.176
Ni 0.735 0.000 0.472

total DFT energy (no corrections) = -28.56 eV/f.u.
size of the total moment = 0.00 μB per atom
formation energy from the elements = -78 kJ/mol of formula units
volume = 12.64 Å³ per atom
SG = Pm (6)

***

A plane-wave DFT calculation with PBE was carried out for crystalline Ac8PdRh5 at its relaxed geometry.

Unit cell a=8.110 b=8.110 c=8.110 alpha=109.21 beta=109.21 gamma=110.00
Sites, in units of the cell vectors:
Ac 0.010 0.879 0.247
Ac 0.121 0.368 0.130
Ac 0.125 0.373 0.640
Ac 0.238 0.990 0.870
Ac 0.515 0.875 0.248
Ac 0.627 0.267 0.752
Ac 0.632 0.762 0.753
Ac 0.733 0.485 0.360
Pd 0.250 0.750 0.500
Rh 0.006 0.628 0.882
Rh 0.372 0.255 0.379
Rh 0.500 0.500 0.000
Rh 0.745 0.124 0.118
Rh 0.876 0.994 0.621

total DFT energy (no corrections) = -84.03 eV/f.u.
size of the total moment = 0.00 μB per atom
formation energy from the elements = -889 kJ/mol of formula units
volume = 29.33 Å³ per atom
SG = I-4 (82)

***

A plane-wave DFT calculation with PBE was carried out for crystalline BaLiBeZn2 at its relaxed geometry.

Unit cell a=4.638 b=4.638 c=4.986 alpha=90.00 beta=90.00 gamma=90.00
Sites, in units of the cell vectors:
Ba 0.000 0.000 0.000
Li 0.500 0.500 0.000
Be 0.500 0.500 0.500
Zn 0.000 0.500 0.500
Zn 0.500 0.000 0.500

total DFT energy (no corrections) = -9.94 eV/f.u.
size of the total moment = 0.00 μB per atom
formation energy from the elements = 16 kJ/mol of formula units
volume = 21.45 Å³ per atom
SG = P4/mmm (123)

***

A plane-wave DFT calculation with PBE was carried out for crystalline V3MoRu at its relaxed geometry.

Unit cell a=4.904 b=5.173 c=6.161 alpha=75.10 beta=72.18 gamma=88.91
Sites, in units of the cell vectors:
V 0.139 0.166 0.325
V 0.310 0.619 0.403
V 0.333 0.860 0.705
V 0.667 0.140 0.295
V 0.690 0.381 0.597
V 0.861 0.834 0.675
Mo 0.063 0.301 0.841
Mo 0.937 0.699 0.159
Ru 0.500 0.000 0.000
Ru 0.500 0.500 0.000

total DFT energy (no corrections) = -47.38 eV/f.u.
size of the total moment = 0.00 μB per atom
formation energy from the elements = 8 kJ/mol of formula units
energy relative to the lowest polymorph listed for this composition = 0.00 kcal/mol of atoms
volume = 14.35 Å³ per atom
SG = P-1 (2)

***

A plane-wave DFT calculation with PBE was carried out for crystalline FeP2H at its relaxed geometry.

Unit cell a=5.043 b=5.043 c=5.043 alpha=119.06 beta=119.06 gamma=91.64
Sites, in units of the cell vectors:
Fe 0.000 0.000 0.000
Fe 0.750 0.250 0.500
P 0.174 0.625 0.049
P 0.375 0.424 0.549
P 0.576 0.125 0.951
P 0.875 0.826 0.451
H 0.250 0.750 0.500
H 0.500 0.500 0.000

total DFT energy (no corrections) = -21.06 eV/f.u.
size of the total moment = 0.00 μB per atom
energy relative to the lowest polymorph listed for this composition = 1.20 kcal/mol of atoms
volume = 11.49 Å³ per atom
SG = I-42d (122)

***

A plane-wave DFT calculation with PBE was carried out for crystalline AlTlAsO4 at its relaxed geometry.

Unit cell a=5.840 b=5.840 c=5.840 alpha=60.00 beta=60.00 gamma=60.00
Sites, in units of the cell vectors:
Al 0.000 0.000 0.000
Tl 0.250 0.250 0.250
As 0.750 0.750 0.750
O 0.371 0.876 0.876
O 0.876 0.371 0.876
O 0.876 0.876 0.371
O 0.876 0.876 0.876

total DFT energy (no corrections) = -41.17 eV/f.u.
size of the total moment = 0.00 μB per atom
volume = 20.12 Å³ per atom
SG = F-43m (216)
raw formation energy = -1.51 eV per atom

***

A plane-wave DFT calculation with PBE was carried out for crystalline Li4Cu3PbF12 at its relaxed geometry.

Unit cell a=6.579 b=6.579 c=6.579 alpha=109.47 beta=109.47 gamma=109.47
Sites, in units of the cell vectors:
Li 0.000 0.000 0.500
Li 0.000 0.500 0.000
Li 0.500 0.000 0.000
Li 0.500 0.500 0.500
Cu 0.000 0.500 0.500
Cu 0.500 0.000 0.500
Cu 0.500 0.500 0.000
Pb 0.000 0.000 0.000
F 0.142 0.313 0.828
F 0.172 0.485 0.313
F 0.172 0.858 0.687
F 0.313 0.172 0.485
F 0.313 0.828 0.142
F 0.485 0.313 0.172
F 0.515 0.687 0.828
F 0.687 0.172 0.858
F 0.687 0.828 0.515
F 0.828 0.142 0.313
F 0.828 0.515 0.687
F 0.858 0.687 0.172

total DFT energy (no corrections) = -90.77 eV/f.u.
size of the total moment = 0.14 μB per atom
volume = 10.96 Å³ per atom
SG = Im-3 (204)
raw formation energy = -2.23 eV per atom

***

A plane-wave DFT calculation with PBE was carried out for crystalline La2TaBeHg at its relaxed geometry.

Unit cell a=5.554 b=5.554 c=5.364 alpha=90.00 beta=90.00 gamma=90.00
Sites, in units of the cell vectors:
La 0.000 0.500 0.000
La 0.500 0.000 0.000
Ta 0.000 0.000 0.000
Be 0.500 0.500 0.500
Hg 0.000 0.000 0.500

total DFT energy (no corrections) = -21.05 eV/f.u.
size of the total moment = 0.00 μB per atom
formation energy from the elements = 453 kJ/mol of formula units
volume = 33.10 Å³ per atom
SG = P4/mmm (123)